CaMnCo2O | PBE with a Hubbard U | optimized geometry

The structure in POSCAR format:
```
CaMnCo2O
1.0
4.846 0.000 0.000
0.000 4.846 0.000
0.000 0.000 3.818
Ca Mn Co O
1 1 2 1
direct
0.000 0.000 0.000
0.500 0.500 0.500
0.000 0.500 0.500
0.500 0.000 0.500
0.500 0.500 0.000
```

- V: 90 Å³/f.u.
- Calculated total energy: -23.06 eV for the cell shown